# CrAsPCl2

A relaxed CrAsPCl2 crystal (PBE, Alexandria).

Calculated values
Its volume is 106.6 Å³/cell. The calculation puts the uncorrected formation energy at 0.9 eV per formula unit.

Structure (CIF):
```
data_CrAsPCl2
_chemical_formula_sum 'Cr1 As1 P1 Cl2'
_cell_length_a 4.5641
_cell_length_b 4.5641
_cell_length_c 5.1164
_cell_angle_alpha 90.00
_cell_angle_beta 90.00
_cell_angle_gamma 90.00
_symmetry_space_group_name_H-M 'P 4/m m m'
_symmetry_Int_Tables_number 123
_symmetry_space_group_name_Hall '-P 4 2'
loop_
_atom_site_label
_atom_site_fract_x
_atom_site_fract_y
_atom_site_fract_z
Cr1 0.0000 0.0000 0.0000
As1 0.5000 0.5000 0.5000
P1 0.0000 0.0000 0.5000
Cl1 0.0000 0.5000 0.0000
```